PBE TaGeI2O, relaxed; formation energy without anion corrections = 526 meV/atom; energy relative to the lowest polymorph listed for this composition = 835 meV per atom; mass density = 7.106 Mg/m³; final energy = -4.380 eV/atom
1.0
5.7820 0.0000 0.0000
0.0000 5.7820 0.0000
0.0000 0.0000 3.6586
Ta Ge I O
1 1 2 1
Direct
0.0000 0.0000 0.0000
0.5000 0.5000 0.5000
0.0000 0.5000 0.5000
0.5000 0.0000 0.5000
0.5000 0.5000 0.0000